[1]
The following is a DFT calculation (PBE-GGA) of a relaxed structure of AcAl3Fe2.

## Properties
The value obtained for the energy relative to the elements is -0.32 eV per atom.

Cell lengths 6.6183, 6.6183, 5.1439 Å; angles 90.00, 90.00, 76.21 degrees
Fractional coordinates of all 12 atoms:
Ac: 0.1572 0.8428 0.7500
Ac: 0.8428 0.1572 0.2500
Al: 0.0288 0.5691 0.2500
Al: 0.4309 0.9712 0.2500
Al: 0.4428 0.5572 0.2500
Al: 0.5572 0.4428 0.7500
Al: 0.5691 0.0288 0.7500
Al: 0.9712 0.4309 0.7500
Fe: 0.2967 0.2967 0.0000
Fe: 0.2967 0.2967 0.5000
Fe: 0.7033 0.7033 0.0000
Fe: 0.7033 0.7033 0.5000



[2]
The following is a DFT calculation (PBE-GGA) of a relaxed structure of AcAl2Fe.

## Properties
The value obtained for the energy relative to the elements is -0.22 eV per atom.

Cell lengths 9.4191, 9.4191, 4.4374 Å; angles 90.00, 90.00, 152.83 degrees
Fractional coordinates of all 8 atoms:
Ac: 0.1402 0.8598 0.0000
Ac: 0.8598 0.1402 0.0000
Al: 0.0000 0.0000 0.5000
Al: 0.2921 0.7079 0.5000
Al: 0.5000 0.5000 0.0000
Al: 0.7079 0.2921 0.5000
Fe: 0.4343 0.5657 0.5000
Fe: 0.5657 0.4343 0.5000



[3]
The following is a DFT calculation (PBE-GGA) of a relaxed structure of AcAl11Fe.

## Properties
The value obtained for the energy relative to the elements is -0.19 eV per atom.

Cell lengths 6.8820, 6.8820, 7.3221 Å; angles 97.01, 97.01, 135.74 degrees
Fractional coordinates of all 13 atoms:
Ac: 0.0000 0.0000 0.0000
Al: 0.0000 0.0000 0.5000
Al: 0.0000 0.5000 0.0000
Al: 0.0219 0.3669 0.3657
Al: 0.2763 0.4977 0.7567
Al: 0.3669 0.0219 0.3657
Al: 0.4977 0.2763 0.7567
Al: 0.5000 0.0000 0.0000
Al: 0.5023 0.7237 0.2433
Al: 0.6331 0.9781 0.6343
Al: 0.7237 0.5023 0.2433
Al: 0.9781 0.6331 0.6343
Fe: 0.5000 0.5000 0.5000



[4]
The following is a DFT calculation (PBE-GGA) of a relaxed structure of AcAlFe2H8.

## Properties
The value obtained for the total DFT energy (no corrections) is -53.82 eV per cell.

Cell lengths 6.3698, 6.3698, 6.3698 Å; angles 41.10, 41.10, 41.10 degrees
Fractional coordinates of all 12 atoms:
Ac: 0.0000 0.0000 0.0000
Al: 0.5000 0.5000 0.5000
Fe: 0.1976 0.1976 0.1976
Fe: 0.8024 0.8024 0.8024
H: 0.1048 0.8660 0.3987
H: 0.1340 0.6013 0.8952
H: 0.2908 0.2908 0.2908
H: 0.3987 0.1048 0.8660
H: 0.6013 0.8952 0.1340
H: 0.7092 0.7092 0.7092
H: 0.8660 0.3987 0.1048
H: 0.8952 0.1340 0.6013



- Which formula does entry 1 have?
  AcAl3Fe2